# GGA-PBEsol Sc2AgIr, optimized geometry
# **Crystal system**: orthorhombic
# **Fermi-level density of states**: 2.4 states/eV/f.u.
# **Total magnetization**: 0.00 μB/cell
# **Uncorrected energy**: -27.860 eV per cell
# **Formation energy from the elements**: -0.3789 eV per atom
data_Sc2AgIr
_chemical_formula_sum 'Sc2 Ag1 Ir1'
_symmetry_space_group_name_H-M 'P 1'
_symmetry_Int_Tables_number 1
_cell_length_a 3.134
_cell_length_b 4.166
_cell_length_c 5.618
_cell_angle_alpha 90.00
_cell_angle_beta 90.00
_cell_angle_gamma 90.00
loop_
_symmetry_equiv_pos_as_xyz
'x,y,z'
loop_
_atom_site_label
_atom_site_type_symbol
_atom_site_fract_x
_atom_site_fract_y
_atom_site_fract_z
Sc1 Sc 0.000 0.000 0.000
Sc2 Sc 0.500 0.500 0.340
Ag1 Ag 0.000 0.000 0.528
Ir1 Ir 0.500 0.500 0.867